5
Lattice="-4.175 0.056 3.025 0.685 -5.004 1.038 2.947 1.242 4.044" Properties=species:S:1:pos:R:3 comment="CsSc3S (meta-GGA SCAN, PBEsol geometry)" crystal_system=cubic formation_energy_uncorrected_ev_per_atom=1.588 magnetic_moment_mub_per_atom=0.0000 pbc="T T T"
Cs 0.000 0.000 0.000
Sc 0.343 -2.502 0.519
Sc 1.474 0.621 2.022
Sc -2.087 0.028 1.513
S -0.271 -1.853 4.054

***

4
Lattice="-2.026 2.029 -3.175 0.486 -4.248 -0.142 -6.121 -0.813 3.385" Properties=species:S:1:pos:R:3 comment="ZnTe (meta-GGA SCAN, PBEsol geometry)" crystal_system=hexagonal formation_energy_uncorrected_ev_per_atom=-0.481 magnetic_moment_mub_per_atom=0.0000 pbc="T T T"
Zn -7.306 -0.877 1.219
Zn -3.408 -2.562 0.537
Te -5.019 -0.573 -0.046
Te -1.121 -2.258 -0.728

***

5
Lattice="4.688 0.000 0.000 0.000 4.688 0.000 0.000 0.000 4.622" Properties=species:S:1:pos:R:3 comment="CsNiAsOs2 (meta-GGA SCAN, PBEsol geometry)" crystal_system=tetragonal delta_e_f_ev_per_atom=1.541 magnetic_moment_mub_per_atom=0.4883 pbc="T T T"
Cs 2.344 2.344 2.311
Ni 0.000 0.000 2.311
As 0.000 0.000 0.000
Os 0.000 2.344 0.000
Os 2.344 0.000 0.000

***

8
Lattice="5.829 0.000 0.000 0.000 5.829 0.000 -2.915 -2.915 5.913" Properties=species:S:1:pos:R:3 comment="CoGeSb2 (meta-GGA SCAN, PBEsol geometry)" crystal_system=tetragonal formation_energy_uncorrected_ev_per_atom=0.279 magnetic_moment_mub_per_atom=0.0014 pbc="T T T"
Sb 1.708 4.372 1.478
Sb 4.121 1.457 1.478
Sb -1.457 -1.206 4.435
Sb 1.457 1.206 4.435
Ge 0.000 2.915 2.957
Ge 0.000 0.000 0.000
Co 2.915 0.000 2.957
Co 2.915 2.915 0.000

***

6
Lattice="3.826 0.000 0.000 -1.913 3.314 0.000 0.000 0.000 4.808" Properties=species:S:1:pos:R:3 comment="BeCu2 (meta-GGA SCAN, PBEsol geometry)" crystal_system=hexagonal delta_e_f_ev_per_atom=-0.101 magnetic_moment_mub_per_atom=0.0000 pbc="T T T"
Be 1.913 1.105 3.606
Be 0.000 2.209 1.202
Cu 0.000 0.000 0.000
Cu 0.000 0.000 2.404
Cu 1.913 1.105 1.202
Cu 0.000 2.209 3.606

***

4
Lattice="-1.165 3.392 -0.488 -2.443 -1.183 -2.394 -0.531 -1.533 4.035" Properties=species:S:1:pos:R:3 comment="AlCu2Ni (meta-GGA SCAN, PBEsol geometry)" crystal_system=tetragonal delta_e_f_ev_per_atom=-0.335 magnetic_moment_mub_per_atom=0.0005 pbc="T T T"
Ni -1.804 1.104 -1.441
Al -2.389 -0.806 0.100
Cu 0.000 0.000 0.000
Cu -1.750 1.481 1.054